5
Lattice="4.508 0.000 0.000 0.000 4.971 0.000 0.000 0.000 4.508" Properties=species:S:1:pos:R:3 comment="PBE with a Hubbard U Na2SnWF, relaxed" rho_g_cm3=6.04 e_tot_ev_per_atom=-3.60 pbc="T T T"
Na 0.000 0.000 2.254
Na 2.254 0.000 0.000
Sn 2.254 2.485 2.254
W 0.000 2.485 0.000
F 0.000 0.000 0.000